[1]
AlReSb3, relaxed, DFT PBE-GGA; relative energy among the computed polymorphs = 0 meV per atom; theoretical density = 6803 kg/m³; SG = No. 221; formation energy without anion corrections = 775 meV per atom; E = -4.9369 eV/atom; total moment = 0.000 μB per formula unit
1.0
5.2072 0.0000 0.0000
0.0000 5.2072 0.0000
0.0000 0.0000 5.2072
Al Re Sb
1 1 3
Cartesian
0.0000 0.0000 0.0000 Al
2.6036 2.6036 2.6036 Re
0.0000 2.6036 2.6036 Sb
2.6036 0.0000 2.6036 Sb
2.6036 2.6036 0.0000 Sb

[2]
AlReSb, relaxed, DFT PBE-GGA; relative energy among the computed polymorphs = 0 meV per atom; theoretical density = 10827 kg/m³; SG = No. 107; formation energy without anion corrections = 226 meV per atom; E = -6.5449 eV/atom; total moment = 0.000 μB per formula unit
1.0
-1.7240 1.7240 4.3210
1.7240 -1.7240 4.3210
1.7240 1.7240 -4.3210
Al Re Sb
1 1 1
Cartesian
0.0000 0.0000 0.0000 Al
0.0000 0.0000 5.5942 Re
0.0000 0.0000 2.7686 Sb

[3]
AlReSb, relaxed, DFT PBE-GGA; relative energy among the computed polymorphs = 141 meV per atom; theoretical density = 9201 kg/m³; SG = No. 216; formation energy without anion corrections = 367 meV per atom; E = -6.4041 eV/atom; total moment = 0.000 μB per formula unit
1.0
0.0000 3.1150 3.1150
3.1150 0.0000 3.1150
3.1150 3.1150 0.0000
Al Re Sb
1 1 1
Cartesian
0.0000 0.0000 0.0000 Al
1.5575 1.5575 1.5575 Re
3.1150 3.1150 3.1150 Sb

[4]
AlRe2Sb, relaxed, DFT PBE-GGA; relative energy among the computed polymorphs = 423 meV per atom; theoretical density = 12916 kg/m³; SG = No. 216; formation energy without anion corrections = 539 meV per atom; E = -7.6510 eV/atom; total moment = 0.001 μB per formula unit
1.0
0.0000 3.2237 3.2237
3.2237 0.0000 3.2237
3.2237 3.2237 0.0000
Al Re Sb
1 2 1
Cartesian
0.0000 0.0000 0.0000 Al
3.2237 3.2237 3.2237 Re
4.8356 4.8356 4.8356 Re
1.6119 1.6119 1.6119 Sb

[5]
AlRe2Sb, relaxed, DFT PBE-GGA; relative energy among the computed polymorphs = 0 meV per atom; theoretical density = 11843 kg/m³; SG = No. 99; formation energy without anion corrections = 117 meV per atom; E = -8.0735 eV/atom; total moment = 0.001 μB per formula unit
1.0
3.0017 0.0000 0.0000
0.0000 3.0017 0.0000
0.0000 0.0000 8.1098
Al Re Sb
1 2 1
Cartesian
0.0000 0.0000 0.0000 Al
0.0000 0.0000 3.2045 Re
1.5009 1.5009 1.6249 Re
1.5009 1.5009 5.2182 Sb

[6]
AlRe2Sb, relaxed, DFT PBE-GGA; relative energy among the computed polymorphs = 266 meV per atom; theoretical density = 13194 kg/m³; SG = No. 10; formation energy without anion corrections = 383 meV per atom; E = -7.8074 eV/atom; total moment = 0.000 μB per formula unit
1.0
4.6862 0.0000 0.0000
0.0000 3.0101 0.0000
-1.8918 0.0000 4.6497
Al Re Sb
1 2 1
Cartesian
0.0000 0.0000 0.0000 Al
1.3972 0.0000 2.3248 Re
2.3431 1.5051 0.0000 Re
-0.9459 1.5051 2.3248 Sb

[7]
AlRe2Sb, relaxed, DFT PBE-GGA; relative energy among the computed polymorphs = 279 meV per atom; theoretical density = 13310 kg/m³; SG = No. 44; formation energy without anion corrections = 396 meV per atom; E = -7.7946 eV/atom; total moment = 0.000 μB per formula unit
1.0
-1.6166 2.1705 4.6324
1.6166 -2.1705 4.6324
1.6166 2.1705 -4.6324
Al Re Sb
1 2 1
Cartesian
0.0000 0.0000 0.0000 Al
1.6166 0.0000 2.1719 Re
0.0000 0.0000 4.4567 Re
0.0000 2.1705 2.1231 Sb

[8]
AlRe2Sb, relaxed, DFT PBE-GGA; relative energy among the computed polymorphs = 212 meV per atom; theoretical density = 13534 kg/m³; SG = No. 123; formation energy without anion corrections = 329 meV per atom; E = -7.8617 eV/atom; total moment = 0.000 μB per formula unit
1.0
3.1927 0.0000 0.0000
0.0000 3.1927 0.0000
0.0000 0.0000 6.2732
Al Re Sb
1 2 1
Cartesian
0.0000 0.0000 0.0000 Al
1.5963 1.5963 1.4561 Re
1.5963 1.5963 4.8171 Re
0.0000 0.0000 3.1366 Sb

[9]
AlRe2Sb, relaxed, DFT PBE-GGA; relative energy among the computed polymorphs = 356 meV per atom; theoretical density = 13102 kg/m³; SG = No. 166; formation energy without anion corrections = 472 meV per atom; E = -7.7179 eV/atom; total moment = 0.000 μB per formula unit
1.0
1.4905 0.8605 8.5831
-1.4905 0.8605 8.5831
0.0000 -1.7211 8.5831
Al Re Sb
1 2 1
Cartesian
0.0000 0.0000 0.0000 Al
0.0000 0.0000 6.4769 Re
0.0000 0.0000 19.2725 Re
0.0000 0.0000 12.8747 Sb

[10]
AlReSb, relaxed, DFT PBE-GGA; relative energy among the computed polymorphs = 3 meV per atom; theoretical density = 10038 kg/m³; SG = No. 156; formation energy without anion corrections = 229 meV per atom; E = -6.5420 eV/atom; total moment = 0.000 μB per formula unit
1.0
3.1867 0.0000 0.0000
-1.5934 2.7598 0.0000
0.0000 0.0000 6.3002
Al Re Sb
1 1 1
Cartesian
0.0000 0.0000 0.0000 Al
1.5934 0.9199 1.8478 Re
0.0000 1.8399 3.8414 Sb

[11]
AlRe2Sb, relaxed, DFT PBE-GGA; relative energy among the computed polymorphs = 324 meV per atom; theoretical density = 13333 kg/m³; SG = No. 119; formation energy without anion corrections = 440 meV per atom; E = -7.7499 eV/atom; total moment = 0.000 μB per formula unit
1.0
-1.9858 1.9858 4.1148
1.9858 -1.9858 4.1148
1.9858 1.9858 -4.1148
Al Re Sb
1 2 1
Cartesian
0.0000 0.0000 0.0000 Al
1.9858 0.0000 2.0574 Re
0.0000 0.0000 4.1148 Re
0.0000 1.9858 2.0574 Sb

[12]
AlReSb3, relaxed, DFT PBE-GGA; relative energy among the computed polymorphs = 722 meV per atom; theoretical density = 7054 kg/m³; SG = No. 221; formation energy without anion corrections = 1496 meV per atom; E = -4.2153 eV/atom; total moment = 3.020 μB per formula unit
1.0
5.1448 0.0000 0.0000
0.0000 5.1448 0.0000
0.0000 0.0000 5.1448
Al Re Sb
1 1 3
Cartesian
0.0000 0.0000 0.0000 Al
2.5724 2.5724 2.5724 Re
0.0000 0.0000 2.5724 Sb
0.0000 2.5724 0.0000 Sb
2.5724 0.0000 0.0000 Sb

[13]
AlReSb, relaxed, DFT PBE-GGA; relative energy among the computed polymorphs = 326 meV per atom; theoretical density = 9868 kg/m³; SG = No. 42; formation energy without anion corrections = 552 meV per atom; E = -6.2191 eV/atom; total moment = 0.000 μB per formula unit
1.0
0.0000 2.5049 6.8201
1.6496 0.0000 6.8201
1.6496 2.5049 0.0000
Al Re Sb
1 1 1
Cartesian
0.0000 0.0000 0.0000 Al
1.6496 2.5049 4.8867 Re
1.6496 2.5049 9.4829 Sb

[14]
AlReSb, relaxed, DFT PBE-GGA; relative energy among the computed polymorphs = 318 meV per atom; theoretical density = 10168 kg/m³; SG = No. 187; formation energy without anion corrections = 544 meV per atom; E = -6.2266 eV/atom; total moment = 0.000 μB per formula unit
1.0
4.7618 0.0000 0.0000
-2.3809 4.1239 0.0000
0.0000 0.0000 2.7855
Al Re Sb
1 1 1
Cartesian
0.0000 0.0000 0.0000 Al
2.3809 1.3746 1.3928 Re
0.0000 2.7493 1.3928 Sb

[15]
AlRe2Sb, relaxed, DFT PBE-GGA; relative energy among the computed polymorphs = 187 meV per atom; theoretical density = 12621 kg/m³; SG = No. 160; formation energy without anion corrections = 303 meV per atom; E = -7.8870 eV/atom; total moment = 0.000 μB per formula unit
1.0
1.5180 0.8764 8.5898
-1.5180 0.8764 8.5898
0.0000 -1.7529 8.5898
Al Re Sb
1 2 1
Cartesian
0.0000 0.0000 0.0000 Al
0.0000 0.0000 12.5715 Re
0.0000 0.0000 19.1371 Re
0.0000 0.0000 6.1635 Sb